No. 1
Crystalline Ge2Te3Pb at its relaxed geometry. Source: Alexandria, functional PBE-GGA.

Properties
energy above the lowest structure with this stoichiometry: 164 meV/atom
formation energy from raw total energies: 0.06 eV per atom
electronic total energy: -3.67 eV per atom

Structure (POSCAR):
```
Ge2Te3Pb
1.0
6.1853 0.0000 0.0000
0.0000 8.4116 -0.4744
0.0000 -2.5932 8.0160
Ge Te Pb
4 6 2
Cartesian
0.0000 0.8260 1.0707
3.0926 0.8260 1.0707
0.0000 4.9924 6.4710
3.0926 4.9924 6.4710
4.6390 -0.7583 6.6004
4.6390 0.2050 3.3592
1.5463 3.1973 1.0506
4.6390 2.6212 6.4910
1.5463 5.6135 4.1824
1.5463 6.5767 0.9413
1.5463 0.2034 5.8584
4.6390 5.6151 1.6832
```

---

No. 2
Crystalline CaTa2Cr at its relaxed geometry. Source: Alexandria, functional PBE-GGA.

Properties
energy above the lowest structure with this stoichiometry: 123 meV/atom
electronic total energy: -8.24 eV per atom

Structure (POSCAR):
```
CaTa2Cr
1.0
-1.4791 -3.2611 1.8871
2.7182 -1.2605 -0.0476
2.6734 2.2206 5.9328
Cr Ca Ta
1 1 2
Cartesian
3.3042 -0.9105 5.3574
0.6083 -1.3905 2.4149
5.1106 0.8382 5.4542
2.9768 0.6020 3.3735
```

---

No. 3
Crystalline SrLiP2 at its relaxed geometry. Source: Alexandria, functional PBE-GGA.

Properties
energy above the lowest structure with this stoichiometry: 195 meV/atom
electronic total energy: -4.13 eV per atom

Structure (POSCAR):
```
SrLiP2
1.0
5.9463 -0.0991 -0.0412
3.1390 5.0512 0.0412
-4.4732 -2.6034 2.9296
Li P Sr
1 2 1
Cartesian
1.8849 2.6150 1.4854
8.2347 4.4885 0.0000
3.3863 0.0931 1.4442
4.7340 2.5804 0.0000
```

---

No. 4
Crystalline CoWAu2 at its relaxed geometry. Source: Alexandria, functional PBE-GGA.

Properties
energy above the lowest structure with this stoichiometry: 341 meV/atom
electronic total energy: -6.13 eV per atom

Structure (POSCAR):
```
CoWAu2
1.0
4.4576 0.0000 0.0000
2.2288 3.8604 0.0000
2.2288 1.2868 3.6396
Au Co W
2 1 1
Cartesian
0.0000 0.0000 0.0000
6.6864 3.8604 2.7297
4.4576 2.5736 1.8198
2.2288 1.2868 0.9099
```

---

No. 5
Crystalline InSiSe2N at its relaxed geometry. Source: Alexandria, functional PBE-GGA.

Properties
energy above the lowest structure with this stoichiometry: 973 meV/atom
formation energy from raw total energies: 1.05 eV per atom
electronic total energy: -3.64 eV per atom

Structure (POSCAR):
```
InSiSe2N
1.0
5.2067 0.0000 0.0000
0.0000 5.2067 0.0000
0.0000 0.0000 4.1261
Si N Se In
1 1 2 1
Cartesian
2.6034 2.6034 2.0630
0.0000 0.0000 2.0630
0.0000 2.6034 0.0000
2.6034 0.0000 0.0000
0.0000 0.0000 0.0000
```

---

No. 6
Crystalline GePCCl2 at its relaxed geometry. Source: Alexandria, functional PBE-GGA.

Properties
energy above the lowest structure with this stoichiometry: 504 meV/atom
formation energy from raw total energies: 1.60 eV per atom
electronic total energy: -2.99 eV per atom

Structure (POSCAR):
```
GePCCl2
1.0
-4.7422 -0.2034 0.4515
-0.4482 -0.0858 -4.7461
0.2230 -5.0427 0.0701
P Ge C Cl
1 1 1 2
Cartesian
0.1115 -2.5214 0.0350
0.0000 0.0000 0.0000
-2.4837 -2.6659 -2.1123
-0.2241 -0.0429 -2.3731
-2.3711 -0.1017 0.2258
```

---

No. 7
Crystalline Ac2Sn at its relaxed geometry. Source: Alexandria, functional PBE-GGA.

Properties
energy above the lowest structure with this stoichiometry: 706 meV/atom
electronic total energy: -3.88 eV per atom

Structure (POSCAR):
```
Ac2Sn
1.0
-2.7943 -4.0311 -4.9226
4.0781 -3.0166 -4.7496
1.0109 -6.8735 0.1499
Ac Sn
4 2
Cartesian
2.8314 -6.6852 -3.4901
-0.6049 -7.1925 -3.5766
1.4342 -8.7008 -5.9514
0.9287 -5.2640 -6.0264
0.0000 0.0000 0.0000
0.5737 -3.4803 -2.3806
```

---

No. 8
Crystalline TaSi2PtS at its relaxed geometry. Source: Alexandria, functional PBE-GGA.

Properties
formation energy from raw total energies: 1.14 eV per atom
electronic total energy: -5.43 eV per atom

Structure (POSCAR):
```
TaSi2PtS
1.0
4.9192 0.0000 0.0000
0.0000 4.9051 0.0000
0.0000 0.0000 4.9192
S Si Pt Ta
1 2 1 1
Cartesian
2.4596 2.4526 2.4596
0.0000 0.0000 2.4596
2.4596 0.0000 0.0000
0.0000 2.4526 0.0000
0.0000 0.0000 0.0000
```

---

No. 9
Crystalline Tc2TeRh at its relaxed geometry. Source: Alexandria, functional PBE-GGA.

Properties
formation energy from raw total energies: 0.35 eV per atom
electronic total energy: -7.46 eV per atom

Structure (POSCAR):
```
Tc2TeRh
1.0
4.1619 0.0000 0.0000
0.0000 2.9369 0.0031
0.0000 1.6601 5.4149
Rh Tc Te
1 2 1
Cartesian
2.0809 3.4478 4.0635
0.0000 1.9956 5.2853
0.0000 1.9630 2.8386
2.0809 1.1493 1.3545
```

---

No. 10
Crystalline In2AuS at its relaxed geometry. Source: Alexandria, functional PBE-GGA.

Properties
formation energy from raw total energies: -0.21 eV per atom
electronic total energy: -3.43 eV per atom

Structure (POSCAR):
```
In2AuS
1.0
-6.1542 -0.2021 2.7156
2.5332 -2.8874 5.5259
-1.0443 3.1145 6.2041
S Au In
2 2 4
Cartesian
-1.8105 -1.5448 4.1207
-0.1608 -0.6589 7.9253
0.0000 0.0000 0.0000
-4.5045 0.6838 6.5202
-3.7604 0.2924 3.9256
0.5225 -1.0523 5.3575
-2.1286 1.1630 7.7709
-3.9641 -0.3533 11.8371
```

---

No. 11
Crystalline SiNiPH at its relaxed geometry. Source: Alexandria, functional PBE-GGA.

Properties
energy above the lowest structure with this stoichiometry: 72 meV/atom
electronic total energy: -5.06 eV per atom

Structure (POSCAR):
```
SiNiPH
1.0
-2.9792 -0.0431 1.9585
1.8175 -1.8739 2.7236
2.5709 3.4659 0.6691
Ni Si H P
1 1 1 1
Cartesian
0.5179 1.0509 0.3774
0.6556 2.3887 3.8189
-0.3211 3.1696 2.3951
1.7676 1.1731 2.2405
```

---

No. 12
Crystalline NaBiCl at its relaxed geometry. Source: Alexandria, functional PBE-GGA.

Properties
formation energy from raw total energies: -1.07 eV per atom
electronic total energy: -3.42 eV per atom

Structure (POSCAR):
```
NaBiCl
1.0
-0.7739 1.5325 3.5220
3.2925 -1.5857 1.4132
6.0457 10.0949 -3.2692
Bi Na Cl
2 2 2
Cartesian
5.3105 5.6607 1.8698
3.2538 4.3810 -0.2039
7.2543 8.9465 0.7594
1.3100 1.0953 0.9066
5.9154 8.8413 -1.6669
2.6489 1.2004 3.3328
```

---

No. 13
Crystalline LiCrS2Cl at its relaxed geometry. Source: Alexandria, functional PBE-GGA.

Properties
energy above the lowest structure with this stoichiometry: 0 meV/atom
formation energy from raw total energies: -0.46 eV per atom
electronic total energy: -4.78 eV per atom

Structure (POSCAR):
```
LiCrS2Cl
1.0
-4.0633 1.0674 1.2376
-1.5342 -1.3485 -3.8742
-0.6717 -4.8039 1.9381
Cr S Li Cl
1 2 1 1
Cartesian
0.0000 0.0000 0.0000
-0.7671 -0.6742 -1.9371
-2.0316 0.5337 0.6188
-3.1346 -2.5425 -0.3493
-0.3359 -2.4020 0.9690
```

---

No. 14
Crystalline Er8Ge3Te4Ir at its relaxed geometry. Source: Alexandria, functional PBE-GGA.

Properties
formation energy from raw total energies: -1.11 eV per atom
electronic total energy: -5.60 eV per atom

Structure (POSCAR):
```
Er8Ge3Te4Ir
1.0
-0.4631 6.4835 5.2723
-6.7812 3.0025 -4.2878
-0.1735 -7.8251 2.9644
Er Ge Te Ir
8 3 4 1
Cartesian
-5.1130 -3.9868 1.0815
-5.0247 -0.0142 -0.4239
-2.1070 -1.5423 1.7116
-5.3480 -0.6957 3.7579
-2.0697 2.3566 0.1911
-5.3107 3.2032 2.2374
-2.3930 1.6751 4.3729
-2.3047 5.6477 2.8675
-3.6221 4.7430 0.4923
-3.7089 0.8305 1.9745
-3.4773 -2.4113 -0.6617
-0.2315 3.2417 2.6362
-0.3183 -0.6708 4.1184
0.0000 0.0000 0.0000
-0.0867 -3.9125 1.4822
-3.3906 1.5013 -2.1439
```

---

No. 15
Crystalline K3TlPd8 at its relaxed geometry. Source: Alexandria, functional PBE-GGA.

Properties
electronic total energy: -3.97 eV per atom

Structure (POSCAR):
```
K3TlPd8
1.0
5.3236 0.0000 1.6070
2.4192 4.7421 1.6070
0.0077 0.0047 9.5956
K Tl Pd
3 1 8
Cartesian
2.9032 1.7781 9.6247
0.0190 0.0116 9.5580
3.8638 2.3664 6.4426
6.7878 4.1572 6.3777
6.0141 2.0684 4.0852
4.6431 4.4529 8.7337
3.3772 2.0684 3.2891
7.2705 4.4529 9.5269
1.4565 0.8920 4.7962
5.3282 3.2633 11.2127
4.5755 4.4173 4.0852
6.0765 2.1124 8.7337
```

---

No. 16
Crystalline CrInSCl2 at its relaxed geometry. Source: Alexandria, functional PBE-GGA.

Properties
energy above the lowest structure with this stoichiometry: 0 meV/atom
formation energy from raw total energies: -0.61 eV per atom
electronic total energy: -4.65 eV per atom

Structure (POSCAR):
```
CrInSCl2
1.0
5.0041 0.0000 0.0000
0.0000 5.0041 0.0000
0.0000 0.0000 4.5944
Cr S Cl In
1 1 2 1
Cartesian
0.0000 0.0000 0.0000
0.0000 0.0000 2.2972
0.0000 2.5021 0.0000
2.5021 0.0000 0.0000
2.5021 2.5021 2.2972
```

---

No. 17
Crystalline Ba2VFeIr at its relaxed geometry. Source: Alexandria, functional PBE-GGA.

Properties
electronic total energy: -4.85 eV per atom

Structure (POSCAR):
```
Ba2VFeIr
1.0
6.0177 0.0000 0.0000
0.0000 3.9611 0.0000
0.0000 0.0000 6.0177
V Ir Ba Fe
1 1 2 1
Cartesian
0.0000 0.0000 0.0000
3.0089 1.9806 3.0089
0.0000 0.0000 3.0089
3.0089 0.0000 0.0000
0.0000 1.9806 0.0000
```

---

No. 18
Crystalline CaDyZnRu at its relaxed geometry. Source: Alexandria, functional PBE-GGA.

Properties
electronic total energy: -4.42 eV per atom

Structure (POSCAR):
```
CaDyZnRu
1.0
-1.7872 2.8447 -3.6089
0.1852 -1.5458 -4.6783
-4.1456 -1.2936 -2.3349
Ru Zn Ca Dy
1 1 1 1
Cartesian
-1.4369 0.0013 -2.6555
-4.3107 0.0040 -7.9666
0.0000 0.0000 0.0000
-2.8738 0.0027 -5.3110
```

---

No. 19
Crystalline H3IrF at its relaxed geometry. Source: Alexandria, functional PBE-GGA.

Properties
energy above the lowest structure with this stoichiometry: 606 meV/atom
electronic total energy: -3.23 eV per atom

Structure (POSCAR):
```
H3IrF
1.0
-1.7501 -0.2435 2.7373
2.6564 -0.9813 1.6111
0.7040 3.0972 0.7256
H Ir F
3 1 1
Cartesian
1.3282 -0.4906 0.8055
0.3520 1.5486 0.3628
-0.8750 -0.1217 1.3686
0.8052 0.9362 2.5370
0.0000 0.0000 0.0000
```

---

No. 20
Crystalline LaTbPt at its relaxed geometry. Source: Alexandria, functional PBE-GGA.

Properties
energy above the lowest structure with this stoichiometry: 95 meV/atom
electronic total energy: -5.96 eV per atom

Structure (POSCAR):
```
LaTbPt
1.0
5.0051 0.0000 0.0000
2.5025 4.3345 0.0000
2.5025 1.4448 4.0866
Tb Pt La
1 1 1
Cartesian
5.0051 2.8897 2.0433
2.5025 1.4448 1.0217
0.0000 0.0000 0.0000
```

---

No. 21
Crystalline LaTmNiAu at its relaxed geometry. Source: Alexandria, functional PBE-GGA.

Properties
electronic total energy: -5.14 eV per atom

Structure (POSCAR):
```
LaTmNiAu
1.0
5.0640 0.0000 0.0000
2.5320 4.3855 0.0000
2.5320 1.4618 4.1347
Ni Tm Au La
1 1 1 1
Cartesian
2.5320 1.4618 1.0337
0.0000 0.0000 0.0000
7.5959 4.3855 3.1010
5.0640 2.9237 2.0674
```

---

No. 22
Crystalline Li3Dy2ThS6 at its relaxed geometry. Source: Alexandria, functional PBE-GGA.

Properties
formation energy from raw total energies: -1.77 eV per atom
electronic total energy: -5.70 eV per atom

Structure (POSCAR):
```
Li3Dy2ThS6
1.0
-4.3506 5.2258 -0.2539
0.4041 -3.8271 5.6117
5.7046 3.3019 0.4719
Li Dy Th S
3 2 1 6
Cartesian
2.4467 -0.6346 4.8489
-0.6887 5.3352 0.9809
0.8790 2.3503 2.9149
-1.1826 -0.8061 3.6543
-2.7640 2.2048 1.7035
0.0000 0.0000 0.0000
0.4940 5.0284 3.3576
-1.4828 1.8962 4.1286
1.2641 -0.3278 2.4721
2.1005 1.9695 5.3396
3.2409 2.8044 1.7011
-0.3425 2.7312 0.4902
```

---

No. 23
Crystalline Er12In6Ga at its relaxed geometry. Source: Alexandria, functional PBE-GGA.

Properties
electronic total energy: -3.94 eV per atom

Structure (POSCAR):
```
Er12In6Ga
1.0
-4.0192 2.8928 -7.1896
2.1999 -8.0230 -2.6465
-6.9487 -1.9078 4.9283
Er In Ga
12 6 1
Cartesian
-5.0418 -3.0107 -5.2776
-3.8786 -6.4188 -2.4686
-7.0366 -3.3791 -1.1857
-3.7261 -4.0273 0.3698
-4.8894 -0.6192 -2.4392
-1.7314 -3.6589 -3.7222
-0.3574 -8.0854 -1.3925
-5.2121 -7.1278 2.4941
-0.9932 -5.6516 -7.1599
-8.4106 1.0474 -3.5153
-3.5559 0.0899 -7.4019
-7.7747 -1.3863 2.2521
-3.5627 -5.6390 -5.4358
-2.7668 -0.8807 -4.5717
-1.2728 -5.1412 -1.1311
-5.2053 -1.3989 0.5280
-6.0012 -6.1573 -0.3361
-7.4952 -1.8968 -3.7767
0.0000 0.0000 0.0000
```

---

No. 24
Crystalline Ca2Sn12Rh7 at its relaxed geometry. Source: Alexandria, functional PBE-GGA.

Properties
electronic total energy: -5.36 eV per atom

Structure (POSCAR):
```
Ca2Sn12Rh7
1.0
4.1522 0.0000 0.0000
0.0000 9.7104 -5.6063
0.0000 0.0000 11.2125
Ca Sn Rh
2 12 7
Cartesian
1.0637 3.2368 5.6063
3.0885 6.4736 0.0000
1.0537 6.0356 -2.6985
1.0537 4.3556 1.7285
1.0537 9.0295 0.9699
3.0986 3.6748 8.3048
3.0986 5.3548 3.8777
3.0986 0.6808 4.6363
1.0487 1.1172 2.2624
1.0487 1.4007 9.1138
1.0487 7.1925 5.4426
3.1035 8.5931 3.3439
3.1035 8.3097 -3.5075
3.1035 2.5179 0.1637
2.0761 0.0000 0.0000
0.9816 8.6243 -1.6926
0.9816 3.9323 -1.0163
0.9816 6.8641 2.7090
3.1707 1.0860 7.2989
3.1707 5.7780 6.6226
3.1707 2.8463 2.8973
```

---

No. 25
Crystalline CuSiMo2 at its relaxed geometry. Source: Alexandria, functional PBE-GGA.

Properties
formation energy from raw total energies: 0.39 eV per atom
electronic total energy: -7.41 eV per atom

Structure (POSCAR):
```
CuSiMo2
1.0
-1.1196 4.9577 -4.5165
-5.6742 -3.1412 -2.0415
-4.7788 2.2352 -1.4799
Mo Si Cu
4 2 2
Cartesian
-2.5880 3.1952 -3.3846
-4.8967 -0.7152 -2.2739
-6.2114 2.3135 -3.5978
-9.4490 3.3100 -6.8195
-3.3969 0.9083 -3.2790
-6.9249 0.0011 -3.4002
0.0000 0.0000 0.0000
-4.6476 4.0506 -4.6377
```